[1]
# Sr2Ca3Au2

A relaxed Sr2Ca3Au2 crystal (PBE-GGA, Alexandria via LeMat-Bulk).

The energy relative to the elements is -0.5182 eV per atom. The value obtained for the total magnetization is 0.0 μB per formula unit.

The structure belongs to space group C2/m (No. 12); the cell edges are 13.027, 4.282 and 9.618 Å and the angles 90.00°, 115.38° and 90.00°. The asymmetric unit holds Sr at (0.160, 0.000, 0.299), Ca at (0.000, 0.500, 0.500), Ca at (0.126, 0.500, 0.934) and Au at (0.160, 0.000, 0.730).



[2]
# As2RuPbBr

A relaxed As2RuPbBr crystal (PBE-GGA, Alexandria via LeMat-Bulk).

The polymorph energy (0 for the lowest one) comes out at 0 meV/atom. The value obtained for the total magnetization is 0.0 μB per formula unit.

The structure belongs to space group P4/mmm (No. 123); the cell edges are 4.764, 4.764 and 5.492 Å and the angles 90.00°, 90.00° and 90.00°. The asymmetric unit holds As at (0.000, 0.500, 0.000), Ru at (0.000, 0.000, 0.000), Pb at (0.500, 0.500, 0.500) and Br at (0.000, 0.000, 0.500).



[3]
# BeIn2Ni

A relaxed BeIn2Ni crystal (PBE-GGA, Alexandria via LeMat-Bulk).

The energy relative to the elements is 0.3360 eV per atom. The polymorph energy (0 for the lowest one) comes out at 271 meV/atom. The value obtained for the total magnetization is 0.0 μB per formula unit.

The structure belongs to space group C2/m (No. 12); the cell edges are 8.349, 3.459 and 4.859 Å and the angles 90.00°, 101.49° and 90.00°. The asymmetric unit holds Be at (0.000, 0.000, 0.000), In at (0.242, 0.000, 0.745) and Ni at (0.000, 0.500, 0.500).



[4]
# MnGa2Tc2

A relaxed MnGa2Tc2 crystal (PBE-GGA, Alexandria via LeMat-Bulk).

The energy relative to the elements is 0.1328 eV per atom. The polymorph energy (0 for the lowest one) comes out at 99 meV/atom. The value obtained for the total magnetization is 2.9 μB per formula unit.

The structure belongs to space group P4/mbm (No. 127); the cell edges are 6.869, 6.869 and 3.304 Å and the angles 90.00°, 90.00° and 90.00°. The asymmetric unit holds Mn at (0.000, 0.000, 0.000), Ga at (0.167, 0.333, 0.500) and Tc at (0.132, 0.632, 0.000).